A PBEsol-optimized structure of KZn2IrAu, computed with SCAN.

```
5
Lattice="4.920 0.000 0.000 0.000 4.920 0.000 0.000 0.000 4.671" Properties=species:S:1:pos:R:3 pbc="T T T"
K 0.000 0.000 0.000
Zn 0.000 2.460 0.000
Zn 2.460 0.000 0.000
Ir 0.000 0.000 2.336
Au 2.460 2.460 2.336
```

Values from the calculation:
* total moment: 0.00 μB/f.u.
* E_form: 2.173 eV per atom
* crystal system: tetragonal
* SG: P4/mmm, No. 123
* calculated volume: 22.62 A^3/atom



A PBEsol-optimized structure of LaIrAu2, computed with SCAN.

```
4
Lattice="-2.131 2.131 4.262 2.131 -2.131 4.262 2.131 2.131 -4.262" Properties=species:S:1:pos:R:3 pbc="T T T"
La 0.000 0.000 0.000
Ir 2.131 0.000 2.131
Au 0.000 0.000 4.262
Au 0.000 2.131 2.131
```

Values from the calculation:
* total moment: 0.00 μB/f.u.
* offset from the most stable computed form: 0.054 eV/atom
* E_form: -0.387 eV per atom
* crystal system: tetragonal
* SG: I-4m2, No. 119
* calculated volume: 19.35 A^3/atom



A PBEsol-optimized structure of LaIrAu2, computed with SCAN.

```
4
Lattice="3.660 0.000 0.000 0.000 3.660 0.000 0.000 0.000 5.936" Properties=species:S:1:pos:R:3 pbc="T T T"
La 0.000 0.000 0.000
Ir 1.830 1.830 4.494
Au 0.000 0.000 3.056
Au 1.830 1.830 1.756
```

Values from the calculation:
* total moment: 0.00 μB/f.u.
* offset from the most stable computed form: 0.137 eV/atom
* E_form: -0.304 eV per atom
* crystal system: tetragonal
* SG: P4mm, No. 99
* calculated volume: 19.88 A^3/atom



A PBEsol-optimized structure of LaIrAu, computed with SCAN.

```
3
Lattice="-1.614 1.983 4.800 1.614 -1.983 4.800 1.614 1.983 -4.800" Properties=species:S:1:pos:R:3 pbc="T T T"
La 0.000 0.000 0.000
Ir 0.000 0.000 3.147
Au 0.000 0.000 6.648
```

Values from the calculation:
* total moment: 0.00 μB/f.u.
* offset from the most stable computed form: 0.264 eV/atom
* E_form: -0.364 eV per atom
* crystal system: orthorhombic
* SG: Imm2, No. 44
* calculated volume: 20.48 A^3/atom



A PBEsol-optimized structure of LaIr2Au, computed with SCAN.

```
4
Lattice="0.000 3.323 3.323 3.323 0.000 3.323 3.323 3.323 0.000" Properties=species:S:1:pos:R:3 pbc="T T T"
La 0.000 0.000 0.000
Ir 1.661 1.661 1.661
Ir 4.984 4.984 4.984
Au 3.323 3.323 3.323
```

Values from the calculation:
* total moment: 0.00 μB/f.u.
* E_form: 0.162 eV per atom
* crystal system: cubic
* SG: Fm-3m, No. 225
* calculated volume: 18.35 A^3/atom



A PBEsol-optimized structure of LaIrAu2, computed with SCAN.

```
4
Lattice="3.957 0.000 0.000 0.000 1.962 5.311 0.000 -1.962 5.311" Properties=species:S:1:pos:R:3 pbc="T T T"
La 0.000 0.000 0.000
Ir 1.979 0.000 5.900
Au 0.000 0.000 7.734
Au 1.979 0.000 3.127
```

Values from the calculation:
* total moment: 0.00 μB/f.u.
* offset from the most stable computed form: 0.000 eV/atom
* E_form: -0.441 eV per atom
* crystal system: orthorhombic
* SG: Amm2, No. 38
* calculated volume: 20.62 A^3/atom